Computed, not measured: crystalline NiSbIrO6 at its relaxed geometry at the GGA+U level of DFT.

Output
Spin magnetization, μB per formula unit: 3.33
E_tot, eV/atom: -6.086
Volume, Å³/atom: 11.3

Lattice parameters (Å, degrees): 4.6381 4.6381 9.4402 90.00 90.00 90.00
Closest atoms and distances in Å follow each position.
Space group P4_2nm (No. 102)
Unique sites:
Ni  0.0000  0.0000  0.0000 (multiplicity 2)  6 O 2.03-2.06
Sb  0.0000  0.0000  0.6684 (multiplicity 2)  6 O 2.02-2.04
Ir  0.0000  0.0000  0.3348 (multiplicity 2)  6 O 1.96-2.00
O  0.1906  0.1906  0.4971 (multiplicity 4)  1 Ir 1.98, 1 Ni 2.03, 1 Sb 2.04
O  0.1922  0.1922  0.1704 (multiplicity 4)  1 Ir 2.00, 1 Sb 2.02, 1 Ni 2.04
O  0.2014  0.2014  0.8328 (multiplicity 4)  1 Ir 1.96, 1 Sb 2.04, 1 Ni 2.06